Record 1
ErUNiS4: optimized geometry, PBE.

The space group is P2_1/m (No. 11) and the conventional cell measures 6.267, 5.862 and 7.509 Å, with angles of 90.00, 106.41 and 90.00 degrees. Symmetry generates all atoms from Er at (0.249, 0.250, 0.441), U at (0.262, 0.250, 0.944), Ni at (0.259, 0.750, 0.171), S at (0.063, 0.750, 0.885), S at (0.064, 0.750, 0.380) and S at (0.484, 0.511, 0.746).

Its total magnetization is 2.890 μB/cell. For the uncorrected formation energy, the calculation gives -1.33 eV per atom. As for the crystal system: monoclinic.

Record 2
AcNb2Ru: optimized geometry, PBE.

The space group is R-3m (No. 166, hexagonal axes) and the conventional cell measures 3.2104, 3.2104 and 29.9300 Å, with angles of 90.00, 90.00 and 120.00 degrees. Symmetry generates all atoms from Ac at (0.0000, 0.0000, 0.0000), Nb at (0.0000, 0.0000, 0.1029) and Ru at (0.0000, 0.0000, 0.5000).

Its formation enthalpy at 0 K is 276 kJ/mol of formula units. Its total magnetization is 0.000 μB/cell. As for the crystal system: trigonal.

Record 3
Li2CdInPb: optimized geometry, PBE.

The space group is P2_1/m (No. 11) and the conventional cell measures 6.160, 4.699 and 8.533 Å, with angles of 90.00, 110.53 and 90.00 degrees. Symmetry generates all atoms from Li at (0.104, 0.250, 0.250), Li at (0.350, 0.750, 0.713), Cd at (0.057, 0.250, 0.599), In at (0.420, 0.750, 0.361) and Pb at (0.296, 0.250, 0.969).

The value obtained for the relative energy among the computed polymorphs is 0.0000 eV/atom. Its formation enthalpy at 0 K is -74 kJ/mol of formula units. Its total magnetization is 0.000 μB/cell. As for the crystal system: monoclinic.

Record 4
KNiW2: optimized geometry, PBE.

The space group is Cmmm (No. 65) and the conventional cell measures 3.243, 4.264 and 10.354 Å, with angles of 90.00, 90.00 and 90.00 degrees. Symmetry generates all atoms from K at (0.000, 0.000, 0.000), Ni at (0.000, 0.000, 0.500) and W at (0.000, 0.500, 0.306).

The value obtained for the relative energy among the computed polymorphs is 0.2053 eV/atom. Its formation enthalpy at 0 K is 356 kJ/mol of formula units. Its total magnetization is 0.000 μB/cell. As for the crystal system: orthorhombic.

Record 5
ZnCdCu2: optimized geometry, PBE.

The space group is C2/m (No. 12) and the conventional cell measures 8.683, 2.740 and 5.111 Å, with angles of 90.00, 97.96 and 90.00 degrees. Symmetry generates all atoms from Zn at (0.000, 0.000, 0.000), Cd at (0.000, 0.500, 0.500) and Cu at (0.245, 0.500, 0.218).

Its formation enthalpy at 0 K is 26 kJ/mol of formula units. Its total magnetization is 0.000 μB/cell. As for the crystal system: monoclinic.

Record 6
BeB2PtO: optimized geometry, PBE.

The space group is P4/mmm (No. 123) and the conventional cell measures 3.260, 3.260 and 5.333 Å, with angles of 90.00, 90.00 and 90.00 degrees. Symmetry generates all atoms from Be at (0.000, 0.000, 0.000), B at (0.000, 0.500, 0.500), Pt at (0.500, 0.500, 0.000) and O at (0.500, 0.500, 0.500).

Its total magnetization is 0.000 μB/cell. For the uncorrected formation energy, the calculation gives 1.18 eV per atom. As for the crystal system: tetragonal.

Record 7
NdTlInAu: optimized geometry, PBE.

The space group is F-43m (No. 216) and the conventional cell measures 7.378, 7.378 and 7.378 Å, with angles of 90.00, 90.00 and 90.00 degrees. Symmetry generates all atoms from Nd at (0.000, 0.000, 0.000), Tl at (0.250, 0.250, 0.250), In at (0.000, 0.000, 0.500) and Au at (0.250, 0.250, 0.750).

Its formation enthalpy at 0 K is -166 kJ/mol of formula units. Its total magnetization is 0.000 μB/cell. As for the crystal system: cubic.

Record 8
NpZn4Au2: optimized geometry, PBE.

The space group is P4_2/mnm (No. 136) and the conventional cell measures 7.651, 7.651 and 4.409 Å, with angles of 90.00, 90.00 and 90.00 degrees. Symmetry generates all atoms from Np at (0.000, 0.000, 0.000), Zn at (0.098, 0.350, 0.500) and Au at (0.211, 0.789, 0.500).

Its formation enthalpy at 0 K is -87 kJ/mol of formula units. Its total magnetization is 8.684 μB/cell. As for the crystal system: tetragonal.

Record 9
Ba2ZnIr: optimized geometry, PBE.

The space group is Amm2 (No. 38) and the conventional cell measures 4.592, 4.729 and 11.969 Å, with angles of 90.00, 90.00 and 90.00 degrees. Symmetry generates all atoms from Ba at (0.000, 0.000, 0.000), Ba at (0.500, 0.000, 0.280), Zn at (0.500, 0.000, 0.590) and Ir at (0.000, 0.000, 0.684).

Its formation enthalpy at 0 K is -72 kJ/mol of formula units. Its total magnetization is 0.000 μB/cell. As for the crystal system: orthorhombic.

Record 10
Y3Hg: optimized geometry, PBE.

The space group is P6_3/mmc (No. 194) and the conventional cell measures 6.8801, 6.8801 and 5.5053 Å, with angles of 90.00, 90.00 and 120.00 degrees. Symmetry generates all atoms from Y at (0.1719, 0.3438, 0.2500) and Hg at (0.3333, 0.6667, 0.7500).

Its formation enthalpy at 0 K is -68 kJ/mol of formula units. Its total magnetization is 1.037 μB/cell. As for the crystal system: hexagonal.

Record 11
Ca2CoAs: optimized geometry, PBE.

The space group is F-43m (No. 216) and the conventional cell measures 6.702, 6.702 and 6.702 Å, with angles of 90.00, 90.00 and 90.00 degrees. Symmetry generates all atoms from Ca at (0.000, 0.000, 0.000), Ca at (0.250, 0.250, 0.250), Co at (0.250, 0.250, 0.750) and As at (0.000, 0.000, 0.500).

Its formation enthalpy at 0 K is -25 kJ/mol of formula units. Its total magnetization is 0.000 μB/cell. As for the crystal system: cubic.

Record 12
BaNaHS: optimized geometry, PBE.

The space group is F-43m (No. 216) and the conventional cell measures 7.148, 7.148 and 7.148 Å, with angles of 90.00, 90.00 and 90.00 degrees. Symmetry generates all atoms from Ba at (0.000, 0.000, 0.000), Na at (0.000, 0.000, 0.500), H at (0.250, 0.250, 0.250) and S at (0.250, 0.250, 0.750).

The energy comes out at -14.6 eV per formula unit. Its total magnetization is 0.000 μB/cell. As for the crystal system: cubic.